Compound: Co2O
Source: the Alexandria database
Functional: PBE with a Hubbard U
Structure: relaxed

a = 2.8954 Å, b = 2.8954 Å, c = 14.8165 Å
α = 90.00°, β = 90.00°, γ = 120.00°
Space group R3m (No. 160, hexagonal axes)
Asymmetric unit:
Co 0.0000 0.0000 0.0000
Co 0.0000 0.0000 0.4689
O 0.0000 0.0000 0.8728

Values from the calculation:
total magnetic moment = 13.89 Bohr magnetons per cell
DFT total energy = -46.77 eV/cell
polymorph energy (0 for the lowest one) = 0.055 eV/atom